Density functional theory data (GGA-PBEsol) for an optimized crystal structure of Tl3In.

Summary:
Its space group is No. 166. Its total energy is -2.71 eV per atom.

Structure (extended XYZ):
```
4
Lattice="5.351 3.089 1.110 -5.351 3.089 1.110 0.000 -6.179 1.110" Properties=species:S:1:pos:R:3 pbc="T T T"
Tl -2.675 -1.545 1.110
Tl -2.675 1.545 2.221
Tl 0.000 3.089 1.110
In 0.000 0.000 0.000
```